No. 1
Crystalline Ga4Co2Ni at its relaxed geometry, computed with GGA-PBE.

Cell: 4.9721 4.9721 4.9721 Å, 110.92 108.75 108.75°
With the nearest neighbours (Å) after each atom.
Atoms (fractional coordinates):
Ni  0.0000  0.0000  0.0000  8 Ga 2.49
Co  0.5000  0.5000  0.0000  8 Ga 2.49
Co  0.5000  0.0000  0.5000  8 Ga 2.49
Ga  0.5000  0.0000  0.0000  4 Co 2.49, 2 Ni 2.49
Ga  0.5000  0.5000  0.5000  4 Co 2.49, 2 Ni 2.49
Ga  0.0000  0.0000  0.5000  2 Ni 2.49, 4 Co 2.49
Ga  0.0000  0.5000  0.0000  2 Ni 2.49, 4 Co 2.49

Results
uncorrected energy	-4.86	eV/atom
ρ	7996	kg/m3
ΔE_f	-0.2773	eV/atom
total magnetic moment	0.69	μB/cell


No. 2
Crystalline CaAcPd at its relaxed geometry, computed with GGA-PBE.

Cell: 5.9805 5.8920 6.1754 Å, 102.26 77.45 84.81°
With the nearest neighbours (Å) after each atom.
Atoms (fractional coordinates):
Ca  0.6811  0.5628  0.2444  3 Pd 2.98-3.25
Ca  0.3234  0.4449  0.7588  3 Pd 2.98-3.25
Ac  0.8071  0.9485  0.7788  4 Pd 3.03-3.31
Ac  0.1974  0.0592  0.2244  4 Pd 3.03-3.31
Pd  0.6752  0.0808  0.3231  3 Ca 2.98-3.25, 1 Pd 3.03, 4 Ac 3.03-3.31
Pd  0.3292  0.9269  0.6801  3 Ca 2.98-3.25, 1 Pd 3.03, 4 Ac 3.03-3.31

Results
uncorrected energy	-4.28	eV/atom
ρ	6038	kg/m3
ΔE_f	-0.5150	eV/atom
total magnetic moment	0.00	μB/cell